## RbCd2P (PBE)

Data for a geometry-optimized RbCd2P structure.

The space group is I-42d (No. 122) and the conventional cell measures 8.8198, 8.8198 and 6.8031 Å, with angles of 90.00, 90.00 and 90.00 degrees. Symmetry generates all atoms from Rb at (0.0000, 0.0000, 0.0000), Cd at (0.1382, 0.2500, 0.6250) and P at (0.0000, 0.0000, 0.5000).

The value obtained for the theoretical density is 4.3 Mg/m³. Its energy of formation is 44 meV per atom.



## KLiO2F (PBE)

Data for a geometry-optimized KLiO2F structure.

The space group is P4/mmm (No. 123) and the conventional cell measures 4.0033, 4.0033 and 4.2352 Å, with angles of 90.00, 90.00 and 90.00 degrees. Symmetry generates all atoms from K at (0.0000, 0.0000, 0.0000), Li at (0.5000, 0.5000, 0.5000), O at (0.0000, 0.5000, 0.5000) and F at (0.5000, 0.5000, 0.0000).

For the uncorrected formation energy, the calculation gives -4.91 eV per formula unit. The value obtained for the theoretical density is 2.4 Mg/m³.



## ZrZnSb2Pb (PBE)

Data for a geometry-optimized ZrZnSb2Pb structure.

The space group is P4/mmm (No. 123) and the conventional cell measures 5.1775, 5.1775 and 5.2364 Å, with angles of 90.00, 90.00 and 90.00 degrees. Symmetry generates all atoms from Zr at (0.0000, 0.0000, 0.0000), Zn at (0.0000, 0.0000, 0.5000), Sb at (0.0000, 0.5000, 0.5000) and Pb at (0.5000, 0.5000, 0.0000).

For the uncorrected formation energy, the calculation gives 2.39 eV per formula unit. The value obtained for the theoretical density is 7.2 Mg/m³.



## InFe2Hg (PBE)

Data for a geometry-optimized InFe2Hg structure.

The space group is P4/mmm (No. 123) and the conventional cell measures 4.0659, 4.0659 and 4.0363 Å, with angles of 90.00, 90.00 and 90.00 degrees. Symmetry generates all atoms from In at (0.0000, 0.0000, 0.0000), Fe at (0.0000, 0.5000, 0.5000) and Hg at (0.5000, 0.5000, 0.0000).

The value obtained for the theoretical density is 10.6 Mg/m³. For the excess energy over the best structure of this formula in the dataset, the calculation gives 0.136 eV/atom. Its energy of formation is 387 meV per atom.



## LaCr2Co (PBE)

Data for a geometry-optimized LaCr2Co structure.

The space group is R-3m (No. 166, hexagonal axes) and the conventional cell measures 2.7981, 2.7981 and 27.6322 Å, with angles of 90.00, 90.00 and 120.00 degrees. Symmetry generates all atoms from La at (0.0000, 0.0000, 0.0000), Cr at (0.0000, 0.0000, 0.2344) and Co at (0.0000, 0.0000, 0.5000).

The value obtained for the theoretical density is 8.0 Mg/m³. For the excess energy over the best structure of this formula in the dataset, the calculation gives 0.677 eV/atom. Its energy of formation is 983 meV per atom.



## Pr12Nd7Th (PBE)

Data for a geometry-optimized Pr12Nd7Th structure.

The space group is R-3 (No. 148, hexagonal axes) and the conventional cell measures 12.7427, 12.7427 and 15.3483 Å, with angles of 90.00, 90.00 and 120.00 degrees. Symmetry generates all atoms from Pr at (0.0268, 0.4445, 0.2188), Pr at (0.0717, 0.8169, 0.9067), Nd at (0.0000, 0.0000, 0.0000), Nd at (0.0626, 0.1859, 0.3069) and Th at (0.0000, 0.0000, 0.5000).

The value obtained for the theoretical density is 6.8 Mg/m³. For the excess energy over the best structure of this formula in the dataset, the calculation gives 0.000 eV/atom. Its energy of formation is 212 meV per atom.



## NdDy2CdO (PBE)

Data for a geometry-optimized NdDy2CdO structure.

The space group is P4/mmm (No. 123) and the conventional cell measures 4.7975, 4.7975 and 4.9758 Å, with angles of 90.00, 90.00 and 90.00 degrees. Symmetry generates all atoms from Nd at (0.0000, 0.0000, 0.0000), Dy at (0.0000, 0.5000, 0.5000), Cd at (0.5000, 0.5000, 0.0000) and O at (0.0000, 0.0000, 0.5000).

For the uncorrected formation energy, the calculation gives -6.50 eV per formula unit. The value obtained for the theoretical density is 8.7 Mg/m³.



## Hf2BTe (PBE)

Data for a geometry-optimized Hf2BTe structure.

The space group is R-3m (No. 166, hexagonal axes) and the conventional cell measures 3.6232, 3.6232 and 20.0699 Å, with angles of 90.00, 90.00 and 120.00 degrees. Symmetry generates all atoms from Hf at (0.0000, 0.0000, 0.2266), B at (0.0000, 0.0000, 0.5000) and Te at (0.0000, 0.0000, 0.0000).

For the uncorrected formation energy, the calculation gives -2.83 eV per formula unit. The value obtained for the theoretical density is 10.8 Mg/m³. For the excess energy over the best structure of this formula in the dataset, the calculation gives 0.000 eV/atom.